VASP calculation (PBE) on a geometry-optimized Rb2TcPt structure.

Geometry as CIF:
```
data_Rb2TcPt
_chemical_formula_sum 'Rb8 Tc4 Pt4'
_space_group_name_H-M_alt 'I -4 2 d'
_space_group_IT_number 122
_space_group_name_Hall 'I -4 2bw'
_cell_length_a 12.765
_cell_length_b 12.765
_cell_length_c 4.837
_cell_angle_alpha 90.00
_cell_angle_beta 90.00
_cell_angle_gamma 90.00
loop_
_atom_site_label
_atom_site_fract_x
_atom_site_fract_y
_atom_site_fract_z
Rb1 0.076 0.250 0.125
Tc1 0.000 0.000 0.500
Pt1 0.000 0.000 0.000
```

VASP calculation (PBE) on a geometry-optimized RbTcPt2 structure.

Geometry as CIF:
```
data_RbTcPt2
_chemical_formula_sum 'Rb4 Tc4 Pt8'
_space_group_name_H-M_alt 'I -4 2 d'
_space_group_IT_number 122
_space_group_name_Hall 'I -4 2bw'
_cell_length_a 7.741
_cell_length_b 7.741
_cell_length_c 8.076
_cell_angle_alpha 90.00
_cell_angle_beta 90.00
_cell_angle_gamma 90.00
loop_
_atom_site_label
_atom_site_fract_x
_atom_site_fract_y
_atom_site_fract_z
Rb1 0.000 0.000 0.000
Tc1 0.000 0.000 0.500
Pt1 0.128 0.250 0.625
```

VASP calculation (PBE) on a geometry-optimized RbTcPt structure.

Geometry as CIF:
```
data_RbTcPt
_chemical_formula_sum 'Rb2 Tc2 Pt2'
_space_group_name_H-M_alt 'P 63/m m c'
_space_group_IT_number 194
_space_group_name_Hall '-P 6c 2c'
_cell_length_a 6.0763
_cell_length_b 6.0763
_cell_length_c 9.5701
_cell_angle_alpha 90.00
_cell_angle_beta 90.00
_cell_angle_gamma 120.00
loop_
_atom_site_label
_atom_site_fract_x
_atom_site_fract_y
_atom_site_fract_z
Rb1 0.3333 0.6667 0.2500
Tc1 0.0000 0.0000 0.2500
Pt1 0.0000 0.0000 0.0000
```

VASP calculation (PBE) on a geometry-optimized Rb3TcPt structure.

Geometry as CIF:
```
data_Rb3TcPt
_chemical_formula_sum 'Rb3 Tc1 Pt1'
_space_group_name_H-M_alt 'P m -3 m'
_space_group_IT_number 221
_space_group_name_Hall '-P 4 2 3'
_cell_length_a 6.415
_cell_length_b 6.415
_cell_length_c 6.415
_cell_angle_alpha 90.00
_cell_angle_beta 90.00
_cell_angle_gamma 90.00
loop_
_atom_site_label
_atom_site_fract_x
_atom_site_fract_y
_atom_site_fract_z
Rb1 0.000 0.000 0.500
Tc1 0.500 0.500 0.500
Pt1 0.000 0.000 0.000
```

Per-record energy relative to the lowest polymorph listed for this composition, eV per atom: 0.000 0.000 1.378 0.000
Per-record ΔE_f, eV per atom: 0.849 0.720 1.544 1.120